Entry 1:
Ba3Th2UN6 | PBE-GGA | relaxed

```
data_Ba3Th2UN6
_space_group_name_H-M_alt 'C 1 2/m 1'
_space_group_IT_number 12
_cell_length_a 6.413
_cell_length_b 11.095
_cell_length_c 6.808
_cell_angle_alpha 90.00
_cell_angle_beta 108.28
_cell_angle_gamma 90.00
loop_
_space_group_symop_operation_xyz
'x,y,z'
'-x,-y,-z'
'-x,y,-z'
'x,-y,z'
'x+1/2,y+1/2,z'
'-x+1/2,-y+1/2,-z'
'-x+1/2,y+1/2,-z'
'x+1/2,-y+1/2,z'
loop_
_atom_site_label
_atom_site_type_symbol
_atom_site_fract_x
_atom_site_fract_y
_atom_site_fract_z
_atom_site_occupancy
Ba1 Ba 0.000 0.000 0.000 1
Ba2 Ba 0.000 0.333 0.000 1
Th1 Th 0.000 0.167 0.500 1
U1 U 0.000 0.500 0.500 1
N1 N 0.211 0.347 0.674 1
N2 N 0.248 0.500 0.322 1
```

- V: 19.2 Å³/atom
- Fermi-level density of states: 10.70 states/eV/cell
- E_form (uncorrected): -113.9 kJ/mol of atoms



Entry 2:
BaThUN4 | PBE-GGA | relaxed

```
data_BaThUN4
_space_group_name_H-M_alt 'I 4 m m'
_space_group_IT_number 107
_space_group_name_Hall 'I 4 -2'
_cell_length_a 4.260
_cell_length_b 4.260
_cell_length_c 13.261
_cell_angle_alpha 90.00
_cell_angle_beta 90.00
_cell_angle_gamma 90.00
loop_
_atom_site_label
_atom_site_type_symbol
_atom_site_fract_x
_atom_site_fract_y
_atom_site_fract_z
_atom_site_occupancy
Ba1 Ba 0.000 0.000 0.000 1
Th1 Th 0.000 0.000 0.702 1
U1 U 0.000 0.000 0.352 1
N1 N 0.000 0.000 0.192 1
N2 N 0.000 0.000 0.532 1
N3 N 0.000 0.500 0.331 1
```

- V: 17.2 Å³/atom
- E_form (uncorrected): -116.1 kJ/mol of atoms



Entry 3:
Ba4Th3WN8 | PBE-GGA | relaxed

```
data_Ba4Th3WN8
_space_group_name_H-M_alt 'R -3 m'
_space_group_IT_number 166
_space_group_name_Hall '-R 3 2"'
_cell_length_a 7.2560
_cell_length_b 7.2560
_cell_length_c 19.2645
_cell_angle_alpha 90.00
_cell_angle_beta 90.00
_cell_angle_gamma 120.00
loop_
_atom_site_label
_atom_site_type_symbol
_atom_site_fract_x
_atom_site_fract_y
_atom_site_fract_z
_atom_site_occupancy
Ba1 Ba 0.0000 0.0000 0.0000 1
Ba2 Ba 0.0000 0.5000 0.0000 1
Th1 Th 0.0000 0.5000 0.5000 1
W1 W 0.0000 0.0000 0.5000 1
N1 N 0.0000 0.0000 0.2289 1
N2 N 0.0400 0.5200 0.2261 1
```

- V: 18.3 Å³/atom
- Fermi-level density of states: 13.42 states/eV/cell
- E_form (uncorrected): -89.6 kJ/mol of atoms



Entry 4:
BaTh2WN5 | PBE-GGA | relaxed

```
data_BaTh2WN5
_space_group_name_H-M_alt 'I 4/m c m'
_space_group_IT_number 140
_space_group_name_Hall '-I 4 2c'
_cell_length_a 7.034
_cell_length_b 7.034
_cell_length_c 11.775
_cell_angle_alpha 90.00
_cell_angle_beta 90.00
_cell_angle_gamma 90.00
loop_
_atom_site_label
_atom_site_type_symbol
_atom_site_fract_x
_atom_site_fract_y
_atom_site_fract_z
_atom_site_occupancy
Ba1 Ba 0.000 0.000 0.250 1
Th1 Th 0.181 0.319 0.000 1
W1 W 0.000 0.500 0.250 1
N1 N 0.000 0.000 0.000 1
N2 N 0.141 0.359 0.360 1
```

- V: 16.2 Å³/atom
- Fermi-level density of states: 5.20 states/eV/cell
- E_form (uncorrected): -115.3 kJ/mol of atoms



Entry 5:
BaTh3W4N12 | PBE-GGA | relaxed

```
data_BaTh3W4N12
_space_group_name_H-M_alt 'R 3 2'
_space_group_IT_number 155
_space_group_name_Hall 'R 3 2"'
_cell_length_a 12.4861
_cell_length_b 12.4861
_cell_length_c 7.7771
_cell_angle_alpha 90.00
_cell_angle_beta 90.00
_cell_angle_gamma 120.00
loop_
_atom_site_label
_atom_site_type_symbol
_atom_site_fract_x
_atom_site_fract_y
_atom_site_fract_z
_atom_site_occupancy
Ba1 Ba 0.0000 0.0000 0.0000 1
Th1 Th 0.0000 0.5526 0.0000 1
W1 W 0.0000 0.0000 0.5000 1
W2 W 0.0000 0.4331 0.5000 1
N1 N 0.0000 0.5821 0.5000 1
N2 N 0.0000 0.8514 0.5000 1
N3 N 0.0536 0.2437 0.1444 1
```

- V: 17.5 Å³/atom
- Fermi-level density of states: 9.42 states/eV/cell
- E_form (uncorrected): -53.3 kJ/mol of atoms



Entry 6:
BaTh2ZnN4 | PBE-GGA | relaxed

```
data_BaTh2ZnN4
_space_group_name_H-M_alt 'C m c m'
_space_group_IT_number 63
_space_group_name_Hall '-C 2c 2'
_cell_length_a 3.731
_cell_length_b 12.414
_cell_length_c 12.183
_cell_angle_alpha 90.00
_cell_angle_beta 90.00
_cell_angle_gamma 90.00
loop_
_atom_site_label
_atom_site_type_symbol
_atom_site_fract_x
_atom_site_fract_y
_atom_site_fract_z
_atom_site_occupancy
Ba1 Ba 0.000 0.096 0.250 1
Th1 Th 0.000 0.367 0.054 1
Zn1 Zn 0.000 0.174 0.750 1
N1 N 0.000 0.000 0.000 1
N2 N 0.000 0.254 0.605 1
N3 N 0.000 0.420 0.250 1
```

- V: 17.6 Å³/atom
- E_form (uncorrected): -111.3 kJ/mol of atoms



Entry 7:
BaThZnN3 | PBE-GGA | relaxed

```
data_BaThZnN3
_space_group_name_H-M_alt 'P 1 21/m 1'
_space_group_IT_number 11
_cell_length_a 7.905
_cell_length_b 3.697
_cell_length_c 7.936
_cell_angle_alpha 90.00
_cell_angle_beta 101.19
_cell_angle_gamma 90.00
loop_
_space_group_symop_operation_xyz
'x,y,z'
'-x,-y,-z'
'-x,y+1/2,-z'
'x,-y+1/2,z'
loop_
_atom_site_label
_atom_site_type_symbol
_atom_site_fract_x
_atom_site_fract_y
_atom_site_fract_z
_atom_site_occupancy
Ba1 Ba 0.178 0.250 0.212 1
Th1 Th 0.350 0.750 0.831 1
Zn1 Zn 0.089 0.250 0.603 1
N1 N 0.152 0.250 0.860 1
N2 N 0.167 0.750 0.522 1
N3 N 0.444 0.750 0.138 1
```

- V: 19.0 Å³/atom
- Fermi-level density of states: 10.02 states/eV/cell
- E_form (uncorrected): -61.2 kJ/mol of atoms



Entry 8:
BaThZrN3 | PBE-GGA | relaxed

```
data_BaThZrN3
_space_group_name_H-M_alt 'P 1 21/m 1'
_space_group_IT_number 11
_cell_length_a 7.419
_cell_length_b 3.627
_cell_length_c 10.047
_cell_angle_alpha 90.00
_cell_angle_beta 92.01
_cell_angle_gamma 90.00
loop_
_space_group_symop_operation_xyz
'x,y,z'
'-x,-y,-z'
'-x,y+1/2,-z'
'x,-y+1/2,z'
loop_
_atom_site_label
_atom_site_type_symbol
_atom_site_fract_x
_atom_site_fract_y
_atom_site_fract_z
_atom_site_occupancy
Ba1 Ba 0.145 0.250 0.204 1
Th1 Th 0.376 0.750 0.866 1
Zr1 Zr 0.158 0.250 0.559 1
N1 N 0.130 0.750 0.447 1
N2 N 0.202 0.250 0.763 1
N3 N 0.404 0.750 0.098 1
```

- V: 22.5 Å³/atom
- Fermi-level density of states: 3.67 states/eV/cell
- E_form (uncorrected): -111.0 kJ/mol of atoms